Entry from the Alexandria database: crystalline TcP2Cl at its relaxed geometry (GGA-PBE).

Lattice parameters (Å, degrees): 4.4364 4.4364 4.4364 60.00 60.00 60.00
Closest atoms and distances in Å follow each position.
Sites, in units of the cell vectors:
Tc 0.0000 0.0000 0.0000  8 P 2.72
P 0.2500 0.2500 0.2500  4 Cl 2.72, 4 Tc 2.72
P 0.7500 0.7500 0.7500  4 Cl 2.72, 4 Tc 2.72
Cl 0.5000 0.5000 0.5000  8 P 2.72

Results
Uncorrected energy: -4.96 eV per atom
Formation energy without anion corrections: 800 meV per atom
Spin magnetization: 1.74 μB/f.u.

=====

Entry from the Alexandria database: crystalline Tc2PCl at its relaxed geometry (GGA-PBE).

Lattice parameters (Å, degrees): 3.0135 3.4858 6.5584 90.00 99.71 90.00
Closest atoms and distances in Å follow each position.
Sites, in units of the cell vectors:
Tc 0.1252 0.0000 0.3268  2 P 2.27, 1 Tc 2.51
Tc 0.8748 0.0000 0.6732  2 P 2.27, 1 Tc 2.51
P 0.5000 0.5000 0.5000  4 Tc 2.27
Cl 0.0000 0.5000 0.0000  4 Tc 2.74, 2 Cl 3.01

Results
Uncorrected energy: -6.87 eV per atom
Formation energy without anion corrections: 131 meV per atom
Spin magnetization: 0.00 μB/f.u.

=====

Entry from the Alexandria database: crystalline Tc2PCl at its relaxed geometry (GGA-PBE).

Lattice parameters (Å, degrees): 2.9124 2.9124 7.9268 90.00 90.00 90.00
Closest atoms and distances in Å follow each position.
Sites, in units of the cell vectors:
Tc 0.0000 0.0000 0.0000  4 P 2.49, 4 Tc 2.71
Tc 0.5000 0.5000 0.2229  4 Cl 2.62, 8 Tc 2.71-2.91
P 0.5000 0.5000 0.8237  4 Tc 2.49
Cl 0.0000 0.0000 0.4267  4 Tc 2.62, 4 Cl 2.91

Results
Uncorrected energy: -7.04 eV per atom
Formation energy without anion corrections: -40 meV per atom
Spin magnetization: 0.00 μB/f.u.

=====

Entry from the Alexandria database: crystalline TcPCl2 at its relaxed geometry (GGA-PBE).

Lattice parameters (Å, degrees): 10.2336 10.2336 10.2336 17.37 17.37 17.37
Closest atoms and distances in Å follow each position.
Sites, in units of the cell vectors:
Tc 0.0000 0.0000 0.0000  6 Cl 2.44
P 0.5000 0.5000 0.5000  6 P 3.09
Cl 0.2782 0.2782 0.2782  3 Tc 2.44
Cl 0.7218 0.7218 0.7218  3 Tc 2.44

Results
Uncorrected energy: -4.43 eV per atom
Formation energy without anion corrections: 441 meV per atom
Spin magnetization: 0.80 μB/f.u.

=====

Entry from the Alexandria database: crystalline TcP2Cl at its relaxed geometry (GGA-PBE).

Lattice parameters (Å, degrees): 3.2974 3.2974 9.0402 90.00 90.00 126.17
Closest atoms and distances in Å follow each position.
Sites, in units of the cell vectors:
Tc 0.0000 0.0000 0.0000  2 Cl 2.37, 2 P 2.46
P 0.0000 0.0000 0.3866  2 P 2.15
P 0.5000 0.5000 0.2161  2 P 2.15
Cl 0.5000 0.5000 0.7971  2 Tc 2.37

Results
Uncorrected energy: -5.35 eV per atom
Formation energy without anion corrections: 409 meV per atom
Spin magnetization: 0.00 μB/f.u.

=====

Entry from the Alexandria database: crystalline Tc2PCl at its relaxed geometry (GGA-PBE).

Lattice parameters (Å, degrees): 5.3717 5.3717 3.9261 99.88 99.88 31.62
Closest atoms and distances in Å follow each position.
Sites, in units of the cell vectors:
Tc 0.0000 0.0000 0.0000  1 Cl 2.39, 4 P 2.46-2.59
Tc 0.7466 0.7466 0.2739  4 Cl 2.40-2.58, 2 P 2.47
P 0.4396 0.4396 0.4507  6 Tc 2.46-2.59
Cl 0.2016 0.2016 0.7809  5 Tc 2.39-2.58

Results
Uncorrected energy: -6.80 eV per atom
Formation energy without anion corrections: 196 meV per atom
Spin magnetization: 0.00 μB/f.u.

=====

Entry from the Alexandria database: crystalline TcTe2PCl at its relaxed geometry (GGA-PBE).

Lattice parameters (Å, degrees): 5.4847 5.4847 4.4503 90.00 90.00 90.00
Closest atoms and distances in Å follow each position.
Sites, in units of the cell vectors:
Tc 0.0000 0.0000 0.0000  2 Cl 2.23
Te 0.0000 0.5000 0.5000  2 Cl 2.74
Te 0.5000 0.0000 0.5000  2 Cl 2.74
P 0.5000 0.5000 0.0000  8 Te 3.53, 4 Tc 3.88
Cl 0.0000 0.0000 0.5000  2 Tc 2.23

Results
Uncorrected energy: -3.29 eV per atom
Formation energy without anion corrections: 1495 meV per atom
Spin magnetization: 2.61 μB/f.u.

=====

Entry from the Alexandria database: crystalline TcTeP2Cl at its relaxed geometry (GGA-PBE).

Lattice parameters (Å, degrees): 4.6719 4.6719 4.7855 90.00 90.00 90.00
Closest atoms and distances in Å follow each position.
Sites, in units of the cell vectors:
Tc 0.0000 0.0000 0.0000  4 P 2.34, 2 Cl 2.39
Te 0.5000 0.5000 0.5000  4 Cl 3.30, 8 P 3.34
P 0.0000 0.5000 0.0000  2 Tc 2.34
P 0.5000 0.0000 0.0000  2 Tc 2.34
Cl 0.0000 0.0000 0.5000  2 Tc 2.39

Results
Uncorrected energy: -4.88 eV per atom
Formation energy without anion corrections: 355 meV per atom
Spin magnetization: 0.00 μB/f.u.